No. 1
Entry from Alexandria via LeMat-Bulk: Ni3Cl at its PBEsol-relaxed geometry (SCAN).

## Properties
M_tot: 2.4 μB/cell
formation energy (no corrections): 1.205 eV/f.u.
energy: -0.508 hartree per atom
energy above the lowest structure with this stoichiometry: 0 meV/atom

Geometry as CIF:
```
data_Ni3Cl
_chemical_formula_sum 'Ni3 Cl1'
_symmetry_space_group_name_H-M 'P 1'
_symmetry_Int_Tables_number 1
_symmetry_space_group_name_Hall 'P 1'
_cell_length_a 2.883
_cell_length_b 2.883
_cell_length_c 5.843
_cell_angle_alpha 90.00
_cell_angle_beta 90.00
_cell_angle_gamma 90.00
loop_
_atom_site_label
_atom_site_type_symbol
_atom_site_fract_x
_atom_site_fract_y
_atom_site_fract_z
_atom_site_occupancy
Ni1 Ni 0.000 0.000 0.500 1
Ni2 Ni 0.500 0.500 0.282 1
Ni3 Ni 0.500 0.500 0.718 1
Cl1 Cl 0.000 0.000 0.000 1
```


No. 2
Entry from Alexandria via LeMat-Bulk: Ni2Cl at its PBEsol-relaxed geometry (SCAN).

## Properties
M_tot: 1.2 μB/cell
formation energy (no corrections): 2.261 eV/f.u.
energy: -0.466 hartree per atom

Geometry as CIF:
```
data_Ni2Cl
_chemical_formula_sum 'Ni2 Cl1'
_symmetry_space_group_name_H-M 'P 1'
_symmetry_Int_Tables_number 1
_symmetry_space_group_name_Hall 'P 1'
_cell_length_a 3.791
_cell_length_b 3.791
_cell_length_c 3.791
_cell_angle_alpha 60.00
_cell_angle_beta 60.00
_cell_angle_gamma 60.00
loop_
_atom_site_label
_atom_site_type_symbol
_atom_site_fract_x
_atom_site_fract_y
_atom_site_fract_z
_atom_site_occupancy
Cl1 Cl 0.000 0.000 0.000 1
Ni1 Ni 0.750 0.750 0.750 1
Ni2 Ni 0.250 0.250 0.250 1
```


No. 3
Entry from Alexandria via LeMat-Bulk: Ni3Cl at its PBEsol-relaxed geometry (SCAN).

## Properties
M_tot: 1.4 μB/cell
formation energy (no corrections): 2.025 eV/f.u.
energy: -0.500 hartree per atom
energy above the lowest structure with this stoichiometry: 205 meV/atom

Geometry as CIF:
```
data_Ni3Cl
_chemical_formula_sum 'Ni3 Cl1'
_symmetry_space_group_name_H-M 'P 1'
_symmetry_Int_Tables_number 1
_symmetry_space_group_name_Hall 'P 1'
_cell_length_a 2.815
_cell_length_b 3.841
_cell_length_c 4.987
_cell_angle_alpha 112.65
_cell_angle_beta 106.39
_cell_angle_gamma 90.00
loop_
_atom_site_label
_atom_site_type_symbol
_atom_site_fract_x
_atom_site_fract_y
_atom_site_fract_z
_atom_site_occupancy
Cl1 Cl 0.000 0.960 0.000 1
Ni1 Ni 0.500 0.428 0.000 1
Ni2 Ni 0.219 0.942 0.439 1
Ni3 Ni 0.781 0.504 0.561 1
```


No. 4
Entry from Alexandria via LeMat-Bulk: NiCl4 at its PBEsol-relaxed geometry (SCAN).

## Properties
M_tot: 0.0 μB/cell
formation energy (no corrections): 1.225 eV/f.u.
energy: -0.344 hartree per atom

Geometry as CIF:
```
data_NiCl4
_chemical_formula_sum 'Ni1 Cl4'
_symmetry_space_group_name_H-M 'P 1'
_symmetry_Int_Tables_number 1
_symmetry_space_group_name_Hall 'P 1'
_cell_length_a 4.984
_cell_length_b 4.984
_cell_length_c 4.984
_cell_angle_alpha 109.47
_cell_angle_beta 109.47
_cell_angle_gamma 109.47
loop_
_atom_site_label
_atom_site_type_symbol
_atom_site_fract_x
_atom_site_fract_y
_atom_site_fract_z
_atom_site_occupancy
Cl1 Cl 0.500 0.000 0.000 1
Cl2 Cl 0.500 0.500 0.500 1
Cl3 Cl 0.000 0.500 0.000 1
Cl4 Cl 0.000 0.000 0.500 1
Ni1 Ni 0.000 0.000 0.000 1
```


No. 5
Entry from Alexandria via LeMat-Bulk: Ni3Cl at its PBEsol-relaxed geometry (SCAN).

## Properties
M_tot: 2.5 μB/cell
formation energy (no corrections): 1.299 eV/f.u.
energy: -0.507 hartree per atom
energy above the lowest structure with this stoichiometry: 24 meV/atom

Geometry as CIF:
```
data_Ni3Cl
_chemical_formula_sum 'Ni3 Cl1'
_symmetry_space_group_name_H-M 'P 1'
_symmetry_Int_Tables_number 1
_symmetry_space_group_name_Hall 'P 1'
_cell_length_a 2.773
_cell_length_b 2.773
_cell_length_c 7.393
_cell_angle_alpha 79.19
_cell_angle_beta 79.19
_cell_angle_gamma 60.00
loop_
_atom_site_label
_atom_site_type_symbol
_atom_site_fract_x
_atom_site_fract_y
_atom_site_fract_z
_atom_site_occupancy
Cl1 Cl 0.000 0.000 0.000 1
Ni1 Ni 0.250 0.250 0.249 1
Ni2 Ni 0.750 0.750 0.751 1
Ni3 Ni 0.500 0.500 0.500 1
```


No. 6
Entry from Alexandria via LeMat-Bulk: Ni3ClO at its PBEsol-relaxed geometry (SCAN).

## Properties
M_tot: 0.0 μB/cell
formation energy (no corrections): 0.695 eV/f.u.
energy: -0.456 hartree per atom

Geometry as CIF:
```
data_Ni3ClO
_chemical_formula_sum 'Ni3 Cl1 O1'
_symmetry_space_group_name_H-M 'P 1'
_symmetry_Int_Tables_number 1
_symmetry_space_group_name_Hall 'P 1'
_cell_length_a 3.838
_cell_length_b 3.838
_cell_length_c 3.838
_cell_angle_alpha 90.00
_cell_angle_beta 90.00
_cell_angle_gamma 90.00
loop_
_atom_site_label
_atom_site_type_symbol
_atom_site_fract_x
_atom_site_fract_y
_atom_site_fract_z
_atom_site_occupancy
Cl1 Cl 0.500 0.500 0.500 1
O1 O 0.000 0.000 0.000 1
Ni1 Ni 0.000 0.000 0.500 1
Ni2 Ni 0.000 0.500 0.000 1
Ni3 Ni 0.500 0.000 0.000 1
```


No. 7
Entry from Alexandria via LeMat-Bulk: NiCl2O at its PBEsol-relaxed geometry (SCAN).

## Properties
M_tot: 4.0 μB/cell
formation energy (no corrections): 2.258 eV/f.u.
energy: -0.332 hartree per atom

Geometry as CIF:
```
data_NiCl2O
_chemical_formula_sum 'Ni1 Cl2 O1'
_symmetry_space_group_name_H-M 'P 1'
_symmetry_Int_Tables_number 1
_symmetry_space_group_name_Hall 'P 1'
_cell_length_a 4.264
_cell_length_b 4.264
_cell_length_c 4.264
_cell_angle_alpha 60.00
_cell_angle_beta 60.00
_cell_angle_gamma 60.00
loop_
_atom_site_label
_atom_site_type_symbol
_atom_site_fract_x
_atom_site_fract_y
_atom_site_fract_z
_atom_site_occupancy
Ni1 Ni 0.500 0.500 0.500 1
O1 O 0.000 0.000 0.000 1
Cl1 Cl 0.750 0.750 0.750 1
Cl2 Cl 0.250 0.250 0.250 1
```


No. 8
Entry from Alexandria via LeMat-Bulk: NiSCl2O at its PBEsol-relaxed geometry (SCAN).

## Properties
M_tot: 1.9 μB/cell
formation energy (no corrections): 4.225 eV/f.u.
energy: -0.322 hartree per atom

Geometry as CIF:
```
data_NiSCl2O
_chemical_formula_sum 'Ni1 S1 Cl2 O1'
_symmetry_space_group_name_H-M 'P 1'
_symmetry_Int_Tables_number 1
_symmetry_space_group_name_Hall 'P 1'
_cell_length_a 3.815
_cell_length_b 4.534
_cell_length_c 4.534
_cell_angle_alpha 90.00
_cell_angle_beta 90.00
_cell_angle_gamma 90.00
loop_
_atom_site_label
_atom_site_type_symbol
_atom_site_fract_x
_atom_site_fract_y
_atom_site_fract_z
_atom_site_occupancy
S1 S 0.500 0.000 0.000 1
O1 O 0.000 0.000 0.000 1
Cl1 Cl 0.000 0.000 0.500 1
Ni1 Ni 0.500 0.500 0.500 1
Cl2 Cl 0.000 0.500 0.000 1
```